{"formula": "TcTePdBr2", "functional": "PBE", "state": "relaxed", "e_tot_ev_per_atom": -3.3424, "e_form_raw_ev_per_fu": 5.33, "spacegroup": "P4/mmm (123)", "cell": [[5.760, 0.000, 0.000], [0.000, 5.027, 0.000], [0.000, 0.000, 5.760]], "species": ["Tc", "Te", "Br", "Pd", "Br"], "fractional_positions": [[0.500, 0.500, 0.500], [0.000, 0.000, 0.000], [0.000, 0.000, 0.500], [0.000, 0.500, 0.000], [0.500, 0.000, 0.000]]}


{"formula": "LiCe2Hf3N6", "functional": "PBE", "state": "relaxed", "e_tot_ev_per_atom": -9.3856, "e_form_raw_ev_per_fu": -19.03, "spacegroup": "C2/m (12)", "cell": [[3.286, 0.000, 0.000], [0.000, 6.805, 0.101], [-1.643, -2.110, 6.960]], "species": ["Hf", "Li", "Hf", "N", "N", "N", "N", "Ce", "Ce", "Hf", "N", "N"], "fractional_positions": [[0.500, 0.500, 0.000], [0.500, 0.000, 0.000], [0.839, 0.167, 0.678], [0.671, 0.064, 0.343], [0.005, 0.727, 0.010], [0.329, 0.936, 0.657], [0.995, 0.273, 0.990], [0.839, 0.678, 0.677], [0.161, 0.322, 0.323], [0.161, 0.833, 0.322], [0.659, 0.604, 0.317], [0.341, 0.396, 0.683]]}


{"formula": "Mg2GeP", "functional": "PBE", "state": "relaxed", "formation_enthalpy_0k_ev_per_atom": -0.0425, "e_tot_ev_per_atom": -3.3466, "polymorph_energy_kj_per_mol_atoms": 0.8, "spacegroup": "Fm-3m (225)", "cell": [[0.000, 3.333, 3.333], [3.333, 0.000, 3.333], [3.333, 3.333, 0.000]], "species": ["Mg", "Ge", "P", "Mg"], "fractional_positions": [[0.250, 0.250, 0.250], [0.500, 0.500, 0.500], [0.000, 0.000, 0.000], [0.750, 0.750, 0.750]]}


{"formula": "CaTiO2", "functional": "PBE", "state": "relaxed", "e_tot_ev_per_atom": -7.5486, "e_form_raw_ev_per_fu": -10.38, "polymorph_energy_kj_per_mol_atoms": 0.8, "spacegroup": "P-1 (2)", "cell": [[3.081, -0.265, -0.272], [0.767, 8.463, 0.219], [0.780, 0.540, 8.233]], "species": ["O", "O", "O", "O", "O", "Ca", "Ca", "Ca", "O", "O", "Ti", "O", "Ca", "Ti", "Ti", "Ti"], "fractional_positions": [[0.251, 0.383, 0.215], [0.249, 0.687, 0.473], [0.749, 0.617, 0.785], [0.250, 0.079, 0.212], [0.750, 0.921, 0.788], [0.750, 0.247, 0.069], [0.250, 0.470, 0.682], [0.250, 0.753, 0.931], [0.751, 0.313, 0.527], [0.251, 0.231, 0.845], [0.748, 0.830, 0.575], [0.749, 0.769, 0.155], [0.750, 0.530, 0.318], [0.252, 0.170, 0.425], [0.752, 0.132, 0.713], [0.248, 0.868, 0.287]]}